Entry 1:
Ag3AsW: single point on PBEsol structure, SCAN.

The space group is Pm-3m (No. 221) and the conventional cell measures 4.761, 4.761 and 4.761 Å, with angles of 90.00, 90.00 and 90.00 degrees. Symmetry generates all atoms from Ag at (0.000, 0.000, 0.500), As at (0.000, 0.000, 0.000) and W at (0.500, 0.500, 0.500).

Its total energy is -35.317 eV per atom. As for the magnetization: 1.040 μB per atom. As for the formation energy: 1479 meV/atom.

---

Entry 2:
Ag2AsW: single point on PBEsol structure, SCAN.

The space group is I4/mmm (No. 139) and the conventional cell measures 3.710, 3.710 and 9.546 Å, with angles of 90.00, 90.00 and 90.00 degrees. Symmetry generates all atoms from Ag at (0.000, 0.500, 0.250), As at (0.000, 0.000, 0.000) and W at (0.000, 0.000, 0.500).

Its total energy is -37.402 eV per atom. As for the magnetization: 0.000 μB per atom. As for the formation energy: 751 meV/atom.

---

Entry 3:
AgAs2W: single point on PBEsol structure, SCAN.

The space group is R-3m (No. 166, hexagonal axes) and the conventional cell measures 3.1084, 3.1084 and 24.5664 Å, with angles of 90.00, 90.00 and 120.00 degrees. Symmetry generates all atoms from Ag at (0.0000, 0.0000, 0.0000), As at (0.0000, 0.0000, 0.2417) and W at (0.0000, 0.0000, 0.5000).

Its total energy is -35.188 eV per atom. As for the magnetization: 0.000 μB per atom. For the energy above the lowest structure with this stoichiometry, the calculation gives 0 meV/atom. As for the formation energy: 171 meV/atom.

---

Entry 4:
Ag2AsW: single point on PBEsol structure, SCAN.

The space group is P4/mmm (No. 123) and the conventional cell measures 5.034, 5.034 and 2.691 Å, with angles of 90.00, 90.00 and 90.00 degrees. Symmetry generates all atoms from Ag at (0.000, 0.500, 0.000), As at (0.000, 0.000, 0.500) and W at (0.500, 0.500, 0.500).

Its total energy is -37.277 eV per atom. As for the magnetization: 0.000 μB per atom. As for the formation energy: 876 meV/atom.

---

Entry 5:
AgAs3W: single point on PBEsol structure, SCAN.

The space group is Pm-3m (No. 221) and the conventional cell measures 4.837, 4.837 and 4.837 Å, with angles of 90.00, 90.00 and 90.00 degrees. Symmetry generates all atoms from Ag at (0.000, 0.000, 0.000), As at (0.000, 0.500, 0.500) and W at (0.500, 0.500, 0.500).

Its total energy is -31.639 eV per atom. As for the magnetization: 0.000 μB per atom. As for the formation energy: 686 meV/atom.

---

Entry 6:
AgAsW: single point on PBEsol structure, SCAN.

The space group is F-43m (No. 216) and the conventional cell measures 5.944, 5.944 and 5.944 Å, with angles of 90.00, 90.00 and 90.00 degrees. Symmetry generates all atoms from Ag at (0.000, 0.000, 0.000), As at (0.250, 0.250, 0.750) and W at (0.000, 0.000, 0.500).

Its total energy is -39.589 eV per atom. As for the magnetization: 0.000 μB per atom. As for the formation energy: 826 meV/atom.

---

Copy entry 4 word for word.
Ag2AsW: single point on PBEsol structure, SCAN.

The space group is P4/mmm (No. 123) and the conventional cell measures 5.034, 5.034 and 2.691 Å, with angles of 90.00, 90.00 and 90.00 degrees. Symmetry generates all atoms from Ag at (0.000, 0.500, 0.000), As at (0.000, 0.000, 0.500) and W at (0.500, 0.500, 0.500).

Its total energy is -37.277 eV per atom. As for the magnetization: 0.000 μB per atom. As for the formation energy: 876 meV/atom.